A:
A relaxed AcPr3Au2 crystal, computed with PBE.

Cell lengths 4.0295, 9.3556, 10.2270 Å; angles 90.00, 90.00, 90.00 degrees
With the nearest neighbours (Å) after each atom.
Positions (direct):
Ac  0.5000  0.5110  0.5799  4 Au 3.27-3.30
Ac  0.5000  0.0110  0.4201  4 Au 3.27-3.30
Pr  0.0000  0.4912  0.9304  4 Au 3.20-3.30
Pr  0.0000  0.9912  0.0696  4 Au 3.20-3.30
Pr  0.5000  0.6578  0.2149  3 Au 3.05-3.07
Pr  0.5000  0.1578  0.7851  3 Au 3.05-3.07
Pr  0.0000  0.3382  0.2757  3 Au 3.00-3.19
Pr  0.0000  0.8382  0.7243  3 Au 3.00-3.19
Au  0.5000  0.7707  0.9333  7 Pr 3.00-3.30
Au  0.5000  0.2707  0.0667  7 Pr 3.00-3.30
Au  0.0000  0.2312  0.5719  3 Pr 3.05-3.19, 4 Ac 3.27-3.30
Au  0.0000  0.7312  0.4281  3 Pr 3.05-3.19, 4 Ac 3.27-3.30

Calculated values
- crystal system = orthorhombic
- total moment (μB per formula unit) = 0.0
- space-group type = Pmc2_1, No. 26
- calculated density (g cm⁻³) = 9.0

B:
A relaxed AcPr3Au2 crystal, computed with PBE.

Cell lengths 5.3824, 9.6251, 9.1414 Å; angles 122.98, 90.00, 106.24 degrees
With the nearest neighbours (Å) after each atom.
Positions (direct):
Ac  0.8702  0.7403  0.9397  5 Au 3.36-3.56, 3 Pr 3.67-3.70
Ac  0.1298  0.2597  0.0603  5 Au 3.36-3.56, 3 Pr 3.67-3.70
Pr  0.3026  0.6053  0.6127  2 Au 2.97-3.11, 2 Pr 3.28
Pr  0.9363  0.8726  0.5938  3 Au 3.27-3.28, 1 Pr 3.62
Pr  0.6227  0.2455  0.7323  3 Au 2.98-3.09
Pr  0.3773  0.7545  0.2677  3 Au 2.98-3.09
Pr  0.0637  0.1274  0.4062  3 Au 3.27-3.28, 1 Pr 3.62
Pr  0.6974  0.3947  0.3873  2 Au 2.97-3.11, 2 Pr 3.28
Au  0.4978  0.9957  0.8398  1 Au 2.88, 2 Pr 2.97-2.98
Au  0.5022  0.0043  0.1602  1 Au 2.88, 2 Pr 2.97-2.98
Au  0.7784  0.5568  0.1684  5 Pr 3.09-3.34, 1 Ac 3.36
Au  0.2216  0.4432  0.8316  5 Pr 3.09-3.34, 1 Ac 3.36

Calculated values
- crystal system = monoclinic
- total moment (μB per formula unit) = 0.0
- space-group type = C2/m, No. 12
- calculated density (g cm⁻³) = 9.3

What is the most stable structure shown above? It is A.